# 1
Entry from Alexandria: an optimized crystal structure of SrTcMo2 (PBE).

The structure belongs to space group I4_1/amd (No. 141, origin choice 2); the cell edges are 4.955, 4.955 and 17.255 Å and the angles 90.00°, 90.00° and 90.00°. The distinct sites, in fractional coordinates, are Sr at (0.000, 0.250, 0.375), Tc at (0.000, 0.250, 0.875) and Mo at (0.000, 0.000, 0.000).

For the energy above the lowest structure with this stoichiometry, the calculation gives 596.5 meV/atom.

***

# 2
Entry from Alexandria: an optimized crystal structure of SrTcMo2 (PBE).

The structure belongs to space group Cmmm (No. 65); the cell edges are 3.320, 4.641 and 9.741 Å and the angles 90.00°, 90.00° and 90.00°. The distinct sites, in fractional coordinates, are Sr at (0.000, 0.000, 0.000), Tc at (0.000, 0.000, 0.500) and Mo at (0.000, 0.500, 0.292).

For the energy above the lowest structure with this stoichiometry, the calculation gives 163.3 meV/atom.

***

| no. | formation energy (eV per atom) | DFT total energy (eV/f.u.) | volume (Å³ per atom) |
| --- | --- | --- | --- |
| 1 | 1.196 | -28.92 | 26.48 |
| 2 | 0.763 | -30.66 | 18.77 |